{
  "formula": "K2Tc",
  "functional": "PBE-GGA",
  "state": "optimized geometry",
  "dos_ef_per_ev_fu": 2.98,
  "formation_energy_mev_per_atom": 926,
  "de_polymorph_ev_per_atom": 0.279,
  "e_tot_ev_per_atom": -3.26,
  "lattice_angstrom": [[10.208, -1.499, 0.000], [10.208, 1.499, 0.000], [-2.790, 0.000, 7.250]],
  "species": ["K", "K", "K", "K", "Tc", "Tc"],
  "frac_coords": [[0.103, 0.103, 0.097], [0.159, 0.159, 0.651], [0.841, 0.841, 0.349], [0.897, 0.897, 0.903], [0.500, 0.500, 0.362], [0.500, 0.500, 0.638]]
}